This record from Alexandria via LeMat-Bulk describes crystalline H4Pd5 at its relaxed geometry. The functional is PBE-GGA.

Computed properties:
**SG**: No. 12
**M_tot**: 0.00 μB/cell
**Energy above the lowest structure with this stoichiometry**: 193 meV per atom
**Energy**: -4.26 eV/atom

a b c (Å): 5.9390 5.9390 2.7912
angles (deg): 91.25 91.25 86.73
Closest atoms and distances in Å follow each position.
Positions (direct):
H 0.0137 0.7040 0.8174  3 Pd 1.82-1.92
H 0.2960 0.9863 0.1826  3 Pd 1.82-1.92
H 0.7040 0.0137 0.8174  3 Pd 1.82-1.92
H 0.9863 0.2960 0.1826  3 Pd 1.82-1.92
Pd 0.0000 0.0000 0.0000  4 H 1.82
Pd 0.2736 0.2736 0.4689  2 H 1.87
Pd 0.3269 0.6731 0.0000  2 H 1.92
Pd 0.6731 0.3269 0.0000  2 H 1.92
Pd 0.7264 0.7264 0.5311  2 H 1.87


This record from Alexandria via LeMat-Bulk describes crystalline H4Pd3 at its relaxed geometry. The functional is PBE-GGA.

Computed properties:
**SG**: No. 221
**M_tot**: 0.00 μB/cell
**Energy above the lowest structure with this stoichiometry**: 0 meV per atom
**Energy**: -4.19 eV/atom

a b c (Å): 3.9683 3.9683 3.9683
angles (deg): 90.00 90.00 90.00
Closest atoms and distances in Å follow each position.
Positions (direct):
H 0.0000 0.0000 0.0000  6 Pd 1.98
H 0.0000 0.5000 0.5000  4 Pd 1.98
H 0.5000 0.0000 0.5000  4 Pd 1.98
H 0.5000 0.5000 0.0000  4 Pd 1.98
Pd 0.0000 0.0000 0.5000  6 H 1.98
Pd 0.0000 0.5000 0.0000  6 H 1.98
Pd 0.5000 0.0000 0.0000  6 H 1.98


This record from Alexandria via LeMat-Bulk describes crystalline H8Pd5 at its relaxed geometry. The functional is PBE-GGA.

Computed properties:
**SG**: No. 12
**M_tot**: 0.00 μB/cell
**Energy**: -4.04 eV/atom

a b c (Å): 5.1060 5.1060 5.0541
angles (deg): 110.36 110.36 67.12
Closest atoms and distances in Å follow each position.
Positions (direct):
H 0.0410 0.0410 0.2903  4 Pd 1.87-2.00
H 0.1266 0.4857 0.8915  3 Pd 1.81-1.91, 2 H 1.90-2.03
H 0.4091 0.4091 0.5972  3 Pd 1.79-1.85
H 0.4857 0.1266 0.8915  3 Pd 1.81-1.91, 2 H 1.90-2.03
H 0.5143 0.8734 0.1085  3 Pd 1.81-1.91, 2 H 1.90-2.03
H 0.5909 0.5909 0.4028  3 Pd 1.79-1.85
H 0.8734 0.5143 0.1085  3 Pd 1.81-1.91, 2 H 1.90-2.03
H 0.9590 0.9590 0.7097  4 Pd 1.87-2.00
Pd 0.1830 0.1830 0.0650  6 H 1.82-2.00
Pd 0.2468 0.7532 0.5000  4 H 1.79-1.87
Pd 0.5000 0.5000 0.0000  6 H 1.81-1.85
Pd 0.7532 0.2468 0.5000  4 H 1.79-1.87
Pd 0.8170 0.8170 0.9350  6 H 1.82-2.00


This record from Alexandria via LeMat-Bulk describes crystalline H5Pd4 at its relaxed geometry. The functional is PBE-GGA.

Computed properties:
**SG**: No. 12
**M_tot**: 0.00 μB/cell
**Energy above the lowest structure with this stoichiometry**: 101 meV per atom
**Energy**: -4.09 eV/atom

a b c (Å): 5.6374 5.6374 2.9457
angles (deg): 90.87 90.87 60.37
Closest atoms and distances in Å follow each position.
Positions (direct):
H 0.0000 0.0000 0.0000  4 Pd 2.00, 2 H 2.20
H 0.2693 0.2693 0.5484  2 Pd 1.85
H 0.3876 0.6124 0.0000  1 H 1.27
H 0.6124 0.3876 0.0000  1 H 1.27
H 0.7307 0.7307 0.4516  2 Pd 1.85
Pd 0.1123 0.6302 0.7378  2 H 1.68-1.85
Pd 0.3698 0.8877 0.2622  2 H 1.68-1.85
Pd 0.6302 0.1123 0.7378  2 H 1.68-1.85
Pd 0.8877 0.3698 0.2622  2 H 1.68-1.85


This record from Alexandria via LeMat-Bulk describes crystalline H3Pd at its relaxed geometry. The functional is PBE-GGA.

Computed properties:
**SG**: No. 44
**M_tot**: 0.00 μB/cell
**Energy**: -3.55 eV/atom

a b c (Å): 2.7383 4.7255 4.5052
angles (deg): 90.00 90.00 90.00
Closest atoms and distances in Å follow each position.
Positions (direct):
H 0.0000 0.0000 0.0000  2 Pd 1.74
H 0.0000 0.1816 0.5241  1 H 1.72, 1 Pd 1.92
H 0.0000 0.8184 0.5241  1 H 1.72, 1 Pd 1.92
H 0.5000 0.3184 0.0241  1 H 1.72, 1 Pd 1.92
H 0.5000 0.5000 0.5000  2 Pd 1.74
H 0.5000 0.6816 0.0241  1 H 1.72, 1 Pd 1.92
Pd 0.0000 0.5000 0.2607  8 H 1.74-1.94
Pd 0.5000 0.0000 0.7607  8 H 1.74-1.94


This record from Alexandria via LeMat-Bulk describes crystalline HPd at its relaxed geometry. The functional is PBE-GGA.

Computed properties:
**SG**: No. 87
**M_tot**: 0.00 μB/cell
**Energy above the lowest structure with this stoichiometry**: 111 meV per atom
**Energy**: -4.27 eV/atom

a b c (Å): 7.3486 7.3486 3.1097
angles (deg): 90.00 90.00 90.00
Closest atoms and distances in Å follow each position.
Positions (direct):
H 0.1666 0.6892 0.0000  4 Pd 1.81-1.86
H 0.1892 0.3334 0.5000  4 Pd 1.81-1.86
H 0.3108 0.1666 0.0000  4 Pd 1.81-1.86
H 0.3334 0.8108 0.5000  4 Pd 1.81-1.86
H 0.6666 0.1892 0.5000  4 Pd 1.81-1.86
H 0.6892 0.8334 0.0000  4 Pd 1.81-1.86
H 0.8108 0.6666 0.5000  4 Pd 1.81-1.86
H 0.8334 0.3108 0.0000  4 Pd 1.81-1.86
Pd 0.0802 0.2721 0.0000  4 H 1.81-1.86
Pd 0.2279 0.5802 0.5000  4 H 1.81-1.86
Pd 0.2721 0.9198 0.0000  4 H 1.81-1.86
Pd 0.4198 0.2279 0.5000  4 H 1.81-1.86
Pd 0.5802 0.7721 0.5000  4 H 1.81-1.86
Pd 0.7279 0.0802 0.0000  4 H 1.81-1.86
Pd 0.7721 0.4198 0.5000  4 H 1.81-1.86
Pd 0.9198 0.7279 0.0000  4 H 1.81-1.86


This record from Alexandria via LeMat-Bulk describes crystalline H3Pd4 at its relaxed geometry. The functional is PBE-GGA.

Computed properties:
**SG**: No. 166
**M_tot**: 0.00 μB/cell
**Energy above the lowest structure with this stoichiometry**: 22 meV per atom
**Energy**: -4.47 eV/atom

a b c (Å): 9.3960 9.3960 9.3960
angles (deg): 18.03 18.03 18.03
Closest atoms and distances in Å follow each position.
Positions (direct):
H 0.0000 0.0000 0.0000  6 Pd 2.05
H 0.2346 0.2346 0.2346  3 Pd 1.85
H 0.7654 0.7654 0.7654  3 Pd 1.85
Pd 0.1250 0.1250 0.1250  3 H 1.85
Pd 0.3744 0.3744 0.3744  3 H 2.05
Pd 0.6256 0.6256 0.6256  3 H 2.05
Pd 0.8750 0.8750 0.8750  3 H 1.85


This record from Alexandria via LeMat-Bulk describes crystalline HPd at its relaxed geometry. The functional is PBE-GGA.

Computed properties:
**SG**: No. 223
**M_tot**: 0.00 μB/cell
**Energy above the lowest structure with this stoichiometry**: 253 meV per atom
**Energy**: -4.13 eV/atom

a b c (Å): 5.2321 5.2321 5.2321
angles (deg): 90.00 90.00 90.00
Closest atoms and distances in Å follow each position.
Positions (direct):
H 0.0000 0.2500 0.5000  4 Pd 1.85
H 0.0000 0.7500 0.5000  4 Pd 1.85
H 0.2500 0.5000 0.0000  4 Pd 1.85
H 0.5000 0.0000 0.2500  4 Pd 1.85
H 0.5000 0.0000 0.7500  4 Pd 1.85
H 0.7500 0.5000 0.0000  4 Pd 1.85
Pd 0.0000 0.5000 0.2500  4 H 1.85
Pd 0.0000 0.5000 0.7500  4 H 1.85
Pd 0.2500 0.0000 0.5000  4 H 1.85
Pd 0.5000 0.2500 0.0000  4 H 1.85
Pd 0.5000 0.7500 0.0000  4 H 1.85
Pd 0.7500 0.0000 0.5000  4 H 1.85


This record from Alexandria via LeMat-Bulk describes crystalline HPd3 at its relaxed geometry. The functional is PBE-GGA.

Computed properties:
**SG**: No. 44
**M_tot**: 0.00 μB/cell
**Energy above the lowest structure with this stoichiometry**: 35 meV per atom
**Energy**: -4.70 eV/atom

a b c (Å): 2.7312 7.6448 4.7625
angles (deg): 90.00 90.00 90.00
Closest atoms and distances in Å follow each position.
Positions (direct):
H 0.0000 0.0000 0.0000  4 Pd 1.94
H 0.5000 0.5000 0.5000  4 Pd 1.94
Pd 0.0000 0.3189 0.4988  2 H 1.94
Pd 0.0000 0.5000 0.9989  10 Pd 2.73-2.79, 4 H 2.74-2.75
Pd 0.0000 0.6811 0.4988  2 H 1.94
Pd 0.5000 0.0000 0.4989  10 Pd 2.73-2.79, 4 H 2.74-2.75
Pd 0.5000 0.1811 0.9988  2 H 1.94
Pd 0.5000 0.8189 0.9988  2 H 1.94


This record from Alexandria via LeMat-Bulk describes crystalline HPd at its relaxed geometry. The functional is PBE-GGA.

Computed properties:
**SG**: No. 136
**M_tot**: 0.00 μB/cell
**Energy above the lowest structure with this stoichiometry**: 33 meV per atom
**Energy**: -4.35 eV/atom

a b c (Å): 5.0412 5.0412 3.0450
angles (deg): 90.00 90.00 90.00
Closest atoms and distances in Å follow each position.
Positions (direct):
H 0.1556 0.1556 0.0000  4 Pd 1.80-1.86
H 0.3444 0.6556 0.5000  4 Pd 1.80-1.86
H 0.6556 0.3444 0.5000  4 Pd 1.80-1.86
H 0.8444 0.8444 0.0000  4 Pd 1.80-1.86
Pd 0.2087 0.7913 0.0000  4 H 1.80-1.86
Pd 0.2913 0.2913 0.5000  4 H 1.80-1.86
Pd 0.7087 0.7087 0.5000  4 H 1.80-1.86
Pd 0.7913 0.2087 0.0000  4 H 1.80-1.86


Q: What is the energy in the fifth record?
A: -3.55 eV/atom